No. 1
Below is crystalline TbTh2In at its relaxed geometry, with properties calculated at the PBE level.

It has space group R3m (No. 160, hexagonal axes), with a = 3.5211 Å, b = 3.5211 Å, c = 34.5915 Å, α = 90.00°, β = 90.00° and γ = 120.00°. The inequivalent atoms are Tb at (0.0000, 0.0000, 0.0000), Th at (0.0000, 0.0000, 0.4202), Th at (0.0000, 0.0000, 0.5811) and In at (0.0000, 0.0000, 0.8343).

The formation energy from the elements is -18 meV/atom. The value obtained for the total energy is -5.57 eV per atom.

=====

No. 2
Below is crystalline TbTh2In2 at its relaxed geometry, with properties calculated at the PBE level.

It has space group Cmmm (No. 65), with a = 5.469 Å, b = 9.297 Å, c = 6.610 Å, α = 90.00°, β = 90.00° and γ = 90.00°. The inequivalent atoms are Tb at (0.000, 0.000, 0.000), Th at (0.000, 0.168, 0.500) and In at (0.000, 0.500, 0.263).

The formation energy from the elements is 176 meV/atom. The value obtained for the total energy is -4.81 eV per atom.

=====

No. 3
Below is crystalline Tb4ThIn at its relaxed geometry, with properties calculated at the PBE level.

It has space group P4/mmm (No. 123), with a = 3.589 Å, b = 3.589 Å, c = 14.277 Å, α = 90.00°, β = 90.00° and γ = 90.00°. The inequivalent atoms are Tb at (0.000, 0.000, 0.147), Tb at (0.500, 0.500, 0.330), Th at (0.000, 0.000, 0.500) and In at (0.500, 0.500, 0.000).

The formation energy from the elements is -140 meV/atom. The value obtained for the total energy is -4.92 eV per atom.